## P
The following is a PBE calculation of an optimized crystal structure of CsInSb, from the Alexandria database.

Calculated values
Space group: P3m1
D(E_F): 0.743 states/eV/atom

Unit cell a=6.519 b=4.801 c=4.801 alpha=120.00 beta=90.00 gamma=90.00
Atoms (fractional coordinates):
1 In 0.092 0.000 0.000
2 Cs 0.667 0.667 0.333
3 Sb 0.241 0.333 0.667



## Q
The following is a PBE calculation of an optimized crystal structure of CsInSb, from the Alexandria database.

Calculated values
Space group: I4mm
D(E_F): 0.709 states/eV/atom

Unit cell a=4.158 b=4.158 c=7.459 alpha=106.18 beta=106.18 gamma=90.00
Atoms (fractional coordinates):
1 In 0.288 0.288 0.576
2 Sb 0.710 0.710 0.420
3 Cs 0.002 0.002 0.004



## R
The following is a PBE calculation of an optimized crystal structure of CsInSb, from the Alexandria database.

Calculated values
Space group: Amm2
D(E_F): 0.326 states/eV/atom

Unit cell a=6.076 b=5.678 c=7.920 alpha=90.00 beta=90.00 gamma=90.00
Atoms (fractional coordinates):
1 In 0.500 0.000 0.868
2 Cs 0.000 0.000 0.549
3 Cs 0.000 0.500 0.049
4 In 0.500 0.500 0.368
5 Sb 0.500 0.000 0.239
6 Sb 0.500 0.500 0.739



The structure with the most favorable energy is P; the runner-up is 12 meV/atom above it.



## P
The following is a PBE calculation of an optimized crystal structure of CsInSb, from the Alexandria database.

Calculated values
Space group: Cm
D(E_F): 0.331 states/eV/atom

Unit cell a=6.409 b=6.776 c=13.088 alpha=90.00 beta=119.10 gamma=90.00
Atoms (fractional coordinates):
1 Cs 0.136 0.500 0.067
2 In 0.422 0.000 0.961
3 Cs 0.387 0.000 0.316
4 Sb 0.757 0.283 0.679
5 Sb 0.757 0.217 0.179
6 In 0.422 0.500 0.461
7 In 0.848 0.500 0.377
8 Sb 0.757 0.717 0.679
9 Cs 0.387 0.500 0.816
10 Cs 0.136 0.000 0.567
11 In 0.848 0.000 0.877
12 Sb 0.757 0.783 0.179



## Q
The following is a PBE calculation of an optimized crystal structure of CsInSb, from the Alexandria database.

Calculated values
Space group: Cm

Unit cell a=4.687 b=8.292 c=7.306 alpha=82.70 beta=71.29 gamma=73.58
Atoms (fractional coordinates):
1 In 0.783 0.568 0.865
2 Sb 0.417 0.552 0.615
3 Sb 0.941 0.957 0.161
4 Cs 0.203 0.345 0.248
5 In 0.492 0.762 0.253
6 Cs 0.632 0.025 0.710



## R
The following is a PBE calculation of an optimized crystal structure of CsInSb, from the Alexandria database.

Calculated values
Space group: P4/nmm
D(E_F): 0.435 states/eV/atom

Unit cell a=5.445 b=5.445 c=8.454 alpha=90.00 beta=90.00 gamma=90.00
Atoms (fractional coordinates):
1 Cs 0.000 0.500 0.837
2 Sb 0.000 0.500 0.327
3 In 0.500 0.500 0.500
4 In 0.000 0.000 0.500
5 Sb 0.500 0.000 0.673
6 Cs 0.500 0.000 0.163



## S
The following is a PBE calculation of an optimized crystal structure of CsInSb, from the Alexandria database.

Calculated values
Space group: Pm
D(E_F): 0.061 states/eV/atom

Unit cell a=7.576 b=5.226 c=7.582 alpha=90.00 beta=115.28 gamma=90.00
Atoms (fractional coordinates):
1 Sb 0.056 0.500 0.187
2 In 0.605 0.500 0.964
3 Cs 0.126 0.000 0.832
4 Cs 0.474 0.000 0.484
5 Sb 0.830 0.500 0.414
6 In 0.818 0.000 0.177



The structure with the most favorable energy is R; the runner-up is 61 meV/atom above it.



## P
The following is a PBE calculation of an optimized crystal structure of CsScIn3, from the Alexandria database.

Calculated values
Space group: Pm-3m
D(E_F): 1.011 states/eV/atom

Unit cell a=5.805 b=5.805 c=5.805 alpha=90.00 beta=90.00 gamma=90.00
Atoms (fractional coordinates):
1 In 0.000 0.000 0.500
2 Cs 0.500 0.500 0.500
3 In 0.000 0.500 0.000
4 In 0.500 0.000 0.000
5 Sc 0.000 0.000 0.000



## Q
The following is a PBE calculation of an optimized crystal structure of CsScIn3, from the Alexandria database.

Calculated values
Space group: Pm-3m
D(E_F): 2.007 states/eV/atom

Unit cell a=6.086 b=6.086 c=6.086 alpha=90.00 beta=90.00 gamma=90.00
Atoms (fractional coordinates):
1 In 0.000 0.000 0.500
2 Cs 0.000 0.000 0.000
3 In 0.500 0.000 0.000
4 Sc 0.500 0.500 0.500
5 In 0.000 0.500 0.000



The structure with the most favorable energy is P; the runner-up is 1139 meV/atom above it.



## P
The following is a PBE calculation of an optimized crystal structure of CsSc2In, from the Alexandria database.

Calculated values
Space group: R-3m
D(E_F): 1.940 states/eV/atom

Unit cell a=13.042 b=13.042 c=13.042 alpha=15.13 beta=15.13 gamma=15.13
Atoms (fractional coordinates):
1 Cs 0.500 0.500 0.500
2 Sc 0.078 0.078 0.078
3 In 0.000 0.000 0.000
4 Sc 0.922 0.922 0.922



## Q
The following is a PBE calculation of an optimized crystal structure of CsSc2In, from the Alexandria database.

Calculated values
Space group: R-3m
D(E_F): 1.687 states/eV/atom

Unit cell a=11.904 b=11.904 c=11.904 alpha=16.83 beta=16.83 gamma=16.83
Atoms (fractional coordinates):
1 Sc 0.100 0.100 0.100
2 In 0.500 0.500 0.500
3 Cs 0.000 0.000 0.000
4 Sc 0.900 0.900 0.900



The structure with the most favorable energy is Q; the runner-up is 343 meV/atom above it.



## P
The following is a PBE calculation of an optimized crystal structure of CsInSe, from the Alexandria database.

Calculated values
Space group: P3m1

Unit cell a=6.885 b=4.513 c=4.513 alpha=120.00 beta=90.00 gamma=90.00
Atoms (fractional coordinates):
1 In 0.084 0.000 0.000
2 Cs 0.631 0.667 0.333
3 Se 0.286 0.333 0.667



## Q
The following is a PBE calculation of an optimized crystal structure of CsInSe, from the Alexandria database.

Calculated values
Space group: C2/m

Unit cell a=4.531 b=7.733 c=8.150 alpha=70.78 beta=90.01 gamma=72.95
Atoms (fractional coordinates):
1 Cs 0.390 0.215 0.206
2 Cs 0.606 0.782 0.798
3 Se 0.712 0.569 0.269
4 In 0.131 0.732 0.394
5 Se 0.283 0.428 0.736
6 In 0.865 0.265 0.610



## R
The following is a PBE calculation of an optimized crystal structure of CsInSe, from the Alexandria database.

Calculated values
Space group: Pbcm

Unit cell a=7.041 b=7.086 c=8.848 alpha=90.00 beta=90.00 gamma=90.00
Atoms (fractional coordinates):
1 Se 0.873 0.500 0.132
2 Se 0.127 0.500 0.632
3 Cs 0.375 0.500 0.973
4 In 0.880 0.750 0.801
5 Se 0.126 0.000 0.971
6 In 0.880 0.250 0.801
7 In 0.120 0.250 0.301
8 Cs 0.375 0.000 0.630
9 Cs 0.625 0.500 0.473
10 Se 0.874 0.000 0.471
11 Cs 0.625 0.000 0.130
12 In 0.120 0.750 0.301



The structure with the most favorable energy is Q; the runner-up is 16 meV/atom above it.



## P
The following is a PBE calculation of an optimized crystal structure of CsYInSe, from the Alexandria database.

Calculated values
Space group: P4mm
D(E_F): 0.539 states/eV/atom

Unit cell a=3.900 b=3.900 c=8.599 alpha=90.00 beta=90.00 gamma=90.00
Atoms (fractional coordinates):
1 In 0.500 0.500 0.582
2 Cs 0.000 0.000 0.883
3 Se 0.500 0.500 0.228
4 Y 0.000 0.000 0.359



## Q
The following is a PBE calculation of an optimized crystal structure of CsYInSe, from the Alexandria database.

Calculated values
Space group: Amm2
D(E_F): 0.519 states/eV/atom

Unit cell a=4.053 b=4.412 c=16.903 alpha=90.00 beta=90.00 gamma=90.00
Atoms (fractional coordinates):
1 Se 0.500 0.000 0.944
2 Cs 0.000 0.500 0.823
3 Se 0.500 0.500 0.444
4 In 0.500 0.500 0.133
5 Cs 0.000 0.000 0.323
6 In 0.500 0.000 0.633
7 Y 0.000 0.000 0.057
8 Y 0.000 0.500 0.557



The structure with the most favorable energy is P; the runner-up is 48 meV/atom above it.



## P
The following is a PBE calculation of an optimized crystal structure of CsYInSe, from the Alexandria database.

Calculated values
Space group: Cm
D(E_F): 0.769 states/eV/atom

Unit cell a=10.166 b=4.088 c=7.026 alpha=90.00 beta=103.11 gamma=90.00
Atoms (fractional coordinates):
1 In 0.589 0.000 0.948
2 Y 0.354 0.000 0.536
3 Cs 0.916 0.500 0.892
4 Cs 0.916 0.000 0.392
5 Se 0.192 0.000 0.149
6 Y 0.354 0.500 0.036
7 Se 0.192 0.500 0.649
8 In 0.589 0.500 0.448



## Q
The following is a PBE calculation of an optimized crystal structure of CsYInSe, from the Alexandria database.

Calculated values
Space group: P3m1
D(E_F): 0.782 states/eV/atom

Unit cell a=4.072 b=4.072 c=9.958 alpha=90.00 beta=90.00 gamma=120.00
Atoms (fractional coordinates):
1 Se 0.000 0.000 0.808
2 In 0.667 0.333 0.411
3 Cs 0.333 0.667 0.083
4 Y 0.333 0.667 0.647



The structure with the most favorable energy is P; the runner-up is 7 meV/atom above it.



## P
The following is a PBE calculation of an optimized crystal structure of CsYInSe, from the Alexandria database.

Calculated values
Space group: Cm
D(E_F): 1.022 states/eV/atom

Unit cell a=9.985 b=4.040 c=6.982 alpha=90.00 beta=89.97 gamma=90.00
Atoms (fractional coordinates):
1 In 0.591 0.500 0.243
2 Y 0.351 0.000 0.410
3 Cs 0.923 0.000 0.079
4 Cs 0.923 0.500 0.579
5 In 0.591 0.000 0.743
6 Se 0.186 0.500 0.244
7 Y 0.351 0.500 0.910
8 Se 0.186 0.000 0.744



## Q
The following is a PBE calculation of an optimized crystal structure of CsYInSe, from the Alexandria database.

Calculated values
Space group: Cm
D(E_F): 0.829 states/eV/atom

Unit cell a=4.081 b=4.080 c=10.108 alpha=101.59 beta=90.08 gamma=119.95
Atoms (fractional coordinates):
1 Y 0.319 0.500 0.648
2 In 0.573 0.009 0.412
3 Se 0.041 0.941 0.810
4 Cs 0.797 0.454 0.079



The structure with the most favorable energy is Q; the runner-up is 41 meV/atom above it.



## P
The following is a PBE calculation of an optimized crystal structure of Cs2In2Si, from the Alexandria database.

Calculated values
Space group: I4/mmm
D(E_F): 0.720 states/eV/atom

Unit cell a=4.881 b=4.881 c=9.102 alpha=74.45 beta=74.45 gamma=90.00
Atoms (fractional coordinates):
1 In 0.417 0.417 0.166
2 Si 0.000 0.000 0.000
3 In 0.583 0.583 0.834
4 Cs 0.750 0.250 0.500
5 Cs 0.250 0.750 0.500



## Q
The following is a PBE calculation of an optimized crystal structure of Cs2In2Si, from the Alexandria database.

Calculated values
Space group: P4/mbm
D(E_F): 0.803 states/eV/atom

Unit cell a=7.455 b=7.455 c=6.578 alpha=90.00 beta=90.00 gamma=90.00
Atoms (fractional coordinates):
1 Cs 0.684 0.816 0.500
2 In 0.640 0.140 0.000
3 In 0.860 0.640 0.000
4 Cs 0.316 0.184 0.500
5 Si 0.500 0.500 0.000
6 Cs 0.816 0.316 0.500
7 In 0.140 0.360 0.000
8 Si 0.000 0.000 0.000
9 Cs 0.184 0.684 0.500
10 In 0.360 0.860 0.000



The structure with the most favorable energy is Q; the runner-up is 510 meV/atom above it.



## P
The following is a PBE calculation of an optimized crystal structure of CsIn4Sn, from the Alexandria database.

Calculated values
Space group: F-43m
D(E_F): 0.492 states/eV/atom

Unit cell a=6.505 b=6.505 c=6.505 alpha=60.00 beta=60.00 gamma=60.00
Atoms (fractional coordinates):
1 In 0.123 0.626 0.626
2 Sn 0.000 0.000 0.000
3 Cs 0.250 0.250 0.250
4 In 0.626 0.123 0.626
5 In 0.626 0.626 0.123
6 In 0.626 0.626 0.626



## Q
The following is a PBE calculation of an optimized crystal structure of CsIn4Sn, from the Alexandria database.

Calculated values
Space group: P6/mmm
D(E_F): 0.674 states/eV/atom

Unit cell a=5.289 b=5.289 c=8.741 alpha=90.00 beta=90.00 gamma=120.00
Atoms (fractional coordinates):
1 In 0.333 0.667 0.182
2 In 0.667 0.333 0.182
3 In 0.333 0.667 0.818
4 Cs 0.000 0.000 0.500
5 Sn 0.000 0.000 0.000
6 In 0.667 0.333 0.818



The structure with the most favorable energy is Q; the runner-up is 132 meV/atom above it.